(1)
A plane-wave DFT calculation with SCAN was carried out for a crystal of Ta3Be2 relaxed with PBEsol.

Calculated values
electronic total energy	-209.22	eV per formula unit
ΔE_f	-0.15	eV per atom
magnetization	0.000	μB per atom
ρ	13.47	Mg/m³

a = 6.4555 Å, b = 6.4555 Å, c = 3.3171 Å
α = 90.00°, β = 90.00°, γ = 90.00°
Positions (direct):
Ta 0.0000 0.0000 0.0000
Ta 0.1788 0.3212 0.5000
Ta 0.3212 0.8212 0.5000
Ta 0.5000 0.5000 0.0000
Ta 0.6788 0.1788 0.5000
Ta 0.8212 0.6788 0.5000
Be 0.1142 0.6142 0.0000
Be 0.3858 0.1142 0.0000
Be 0.6142 0.8858 0.0000
Be 0.8858 0.3858 0.0000

(2)
A plane-wave DFT calculation with SCAN was carried out for a crystal of TaBe relaxed with PBEsol.

Calculated values
electronic total energy	-71.22	eV per formula unit
ΔE_f	-0.14	eV per atom
magnetization	0.000	μB per atom
ρ	12.28	Mg/m³

a = 4.8406 Å, b = 4.8406 Å, c = 3.3631 Å
α = 90.00°, β = 90.00°, γ = 139.32°
Positions (direct):
Ta 0.1501 0.8499 0.7500
Ta 0.8499 0.1501 0.2500
Be 0.4333 0.5667 0.7500
Be 0.5667 0.4333 0.2500